First-principles (PBE) data for SrIn2Sb after structural relaxation, as listed in the Alexandria database.

Unit cell a=4.860 b=4.860 c=10.027 alpha=90.00 beta=90.00 gamma=90.00
Space group I-4m2 (No. 119)
Asymmetric unit:
Sr1 0.000 0.000 0.000 [2 per cell]
In1 0.000 0.000 0.500 [2 per cell]
In2 0.000 0.500 0.750 [2 per cell]
Sb1 0.000 0.500 0.250 [2 per cell]

## Properties
E_form (uncorrected) ... -0.38 eV per atom
Raw total energy ... -25.595 eV/cell
DOS(E_F) ... 1.8 states/eV/f.u.
Total magnetization ... 0.000 μB per atom